1.
# Li6Mg23 | Alexandria via LeMat-Bulk | GGA-PBE | relaxed
# * total magnetic moment: 0.00 μB per cell
# * E_form: 2.28 eV/f.u.
data_Li6Mg23
_chemical_formula_sum 'Li24 Mg92'
_space_group_name_H-M_alt 'F m -3 m'
_space_group_IT_number 225
_space_group_name_Hall '-F 4 2 3'
_cell_length_a 14.2310
_cell_length_b 14.2310
_cell_length_c 14.2310
_cell_angle_alpha 90.00
_cell_angle_beta 90.00
_cell_angle_gamma 90.00
loop_
_atom_site_label
_atom_site_type_symbol
_atom_site_fract_x
_atom_site_fract_y
_atom_site_fract_z
Li1 Li 0.0000 0.0000 0.2311
Mg1 Mg 0.0000 0.0000 0.5000
Mg2 Mg 0.0000 0.2500 0.2500
Mg3 Mg 0.1212 0.1212 0.3788
Mg4 Mg 0.1615 0.1615 0.1615

2.
# Li7Mg5 | Alexandria via LeMat-Bulk | GGA-PBE | relaxed
# * total magnetic moment: 0.00 μB per cell
# * E_form: -0.58 eV/f.u.
# * distance to the lowest polymorph of the same formula: 0.000 eV/atom
data_Li7Mg5
_chemical_formula_sum 'Li14 Mg10'
_space_group_name_H-M_alt 'C 1 2/m 1'
_space_group_IT_number 12
_cell_length_a 10.2967
_cell_length_b 4.8628
_cell_length_c 9.7749
_cell_angle_alpha 90.00
_cell_angle_beta 90.28
_cell_angle_gamma 90.00
loop_
_space_group_symop_operation_xyz
'x,y,z'
'-x,-y,-z'
'-x,y,-z'
'x,-y,z'
'x+1/2,y+1/2,z'
'-x+1/2,-y+1/2,-z'
'-x+1/2,y+1/2,-z'
'x+1/2,-y+1/2,z'
loop_
_atom_site_label
_atom_site_type_symbol
_atom_site_fract_x
_atom_site_fract_y
_atom_site_fract_z
Li1 Li 0.0000 0.0000 0.0000
Li2 Li 0.0104 0.5000 0.2656
Li3 Li 0.1554 0.0000 0.2409
Li4 Li 0.1778 0.5000 0.5153
Mg1 Mg 0.0000 0.0000 0.5000
Mg2 Mg 0.1568 0.5000 0.9887
Mg3 Mg 0.1715 0.0000 0.7530

3.
# Li7Mg2 | Alexandria via LeMat-Bulk | GGA-PBE | relaxed
# * total magnetic moment: 0.00 μB per cell
# * E_form: -0.14 eV/f.u.
# * distance to the lowest polymorph of the same formula: 0.000 eV/atom
data_Li7Mg2
_chemical_formula_sum 'Li7 Mg2'
_space_group_name_H-M_alt 'P -3 1 m'
_space_group_IT_number 162
_space_group_name_Hall '-P 3 2'
_cell_length_a 5.2928
_cell_length_b 5.2928
_cell_length_c 7.6080
_cell_angle_alpha 90.00
_cell_angle_beta 90.00
_cell_angle_gamma 120.00
loop_
_atom_site_label
_atom_site_type_symbol
_atom_site_fract_x
_atom_site_fract_y
_atom_site_fract_z
Li1 Li 0.0000 0.0000 0.0000
Li2 Li 0.0000 0.3323 0.6654
Mg1 Mg 0.3333 0.6667 0.0000

4.
# LiMg4 | Alexandria via LeMat-Bulk | GGA-PBE | relaxed
# * total magnetic moment: 0.00 μB per cell
# * E_form: -0.04 eV/f.u.
# * distance to the lowest polymorph of the same formula: 0.020 eV/atom
data_LiMg4
_chemical_formula_sum 'Li2 Mg8'
_space_group_name_H-M_alt 'I 4/m'
_space_group_IT_number 87
_space_group_name_Hall '-I 4'
_cell_length_a 6.9855
_cell_length_b 6.9855
_cell_length_c 4.5390
_cell_angle_alpha 90.00
_cell_angle_beta 90.00
_cell_angle_gamma 90.00
loop_
_atom_site_label
_atom_site_type_symbol
_atom_site_fract_x
_atom_site_fract_y
_atom_site_fract_z
Li1 Li 0.0000 0.0000 0.0000
Mg1 Mg 0.1013 0.7015 0.5000